Record 1
First-principles (PBE) data for a relaxed structure of LaFe2Au, as listed in the Alexandria database.

Structure (CIF):
```
data_LaFe2Au
_chemical_formula_sum 'La4 Fe8 Au4'
_symmetry_space_group_name_H-M 'F -4 3 m'
_symmetry_Int_Tables_number 216
_symmetry_space_group_name_Hall 'F -4 2 3'
_cell_length_a 6.807
_cell_length_b 6.807
_cell_length_c 6.807
_cell_angle_alpha 90.00
_cell_angle_beta 90.00
_cell_angle_gamma 90.00
loop_
_atom_site_label
_atom_site_fract_x
_atom_site_fract_y
_atom_site_fract_z
_atom_site_occupancy
La1 0.000 0.000 0.000 1
Fe1 0.000 0.000 0.500 1
Fe2 0.250 0.250 0.250 1
Au1 0.250 0.250 0.750 1
```

Computed properties:
Formation energy from the elements, eV/atom: 0.22
Calculated volume, Å³/cell: 315
Crystal system: cubic

=====

Record 2
First-principles (PBE) data for a relaxed structure of LaFe2Au, as listed in the Alexandria database.

Structure (CIF):
```
data_LaFe2Au
_chemical_formula_sum 'La1 Fe2 Au1'
_symmetry_space_group_name_H-M 'P 4/m m m'
_symmetry_Int_Tables_number 123
_symmetry_space_group_name_Hall '-P 4 2'
_cell_length_a 4.290
_cell_length_b 4.290
_cell_length_c 3.913
_cell_angle_alpha 90.00
_cell_angle_beta 90.00
_cell_angle_gamma 90.00
loop_
_atom_site_label
_atom_site_fract_x
_atom_site_fract_y
_atom_site_fract_z
_atom_site_occupancy
La1 0.000 0.000 0.000 1
Fe1 0.000 0.500 0.500 1
Au1 0.500 0.500 0.000 1
```

Computed properties:
Formation energy from the elements, eV/atom: 0.24
Calculated volume, Å³/cell: 72
Crystal system: tetragonal

=====

Q: Among the records above, which one has the highest calculated volume?
A: number 1

=====

Q: What is the formula in the second record?
A: LaFe2Au

=====

Q: What is the formation energy from the elements in the second record?
A: 0.24 eV/atom